(w)
{
  "formula": "TmAl2Cu4",
  "functional": "PBE",
  "state": "relaxed",
  "lattice": [[-0.599, -5.060, 0.326], [2.097, -3.057, -3.624], [3.487, -2.821, 2.600]],
  "species": ["Al", "Al", "Cu", "Cu", "Cu", "Cu", "Tm"],
  "frac_coords": [[0.250, 0.500, 0.500], [0.750, 0.500, 0.500], [0.692, 0.617, 0.000], [0.308, 0.383, 0.000], [0.692, 0.000, 0.617], [0.308, 0.000, 0.383], [0.000, 0.000, 0.000]],
  "space_group": "No. 139",
  "m_tot_mub_per_cell": 0.00
}



(x)
{
  "formula": "TmAl2Cu4",
  "functional": "PBE",
  "state": "relaxed",
  "lattice": [[-2.427, -0.036, 5.216], [-2.809, -0.603, -4.984], [3.247, -4.747, 0.142]],
  "species": ["Tm", "Cu", "Cu", "Cu", "Cu", "Al", "Al"],
  "frac_coords": [[0.000, 0.000, 0.000], [0.274, 0.500, 0.774], [0.726, 0.500, 0.226], [0.500, 0.726, 0.226], [0.500, 0.274, 0.774], [0.750, 0.250, 0.500], [0.250, 0.750, 0.500]],
  "space_group": "No. 139",
  "m_tot_mub_per_cell": 0.00
}



The structure with the least stability is (x).



(w)
{
  "formula": "YTmAlCu",
  "functional": "PBE",
  "state": "relaxed",
  "lattice": [[-0.173, -1.859, -2.912], [2.117, -2.361, 1.382], [-5.773, -3.621, 2.656]],
  "species": ["Tm", "Cu", "Al", "Y"],
  "frac_coords": [[0.000, 0.000, 0.375], [0.500, 0.500, 0.592], [0.500, 0.500, 0.114], [0.000, 0.000, 0.846]],
  "space_group": "No. 99",
  "m_tot_mub_per_cell": 0.00
}



(x)
{
  "formula": "YTmAlCu",
  "functional": "PBE",
  "state": "relaxed",
  "lattice": [[-3.026, 3.994, 0.164], [-4.851, -0.481, -1.173], [-3.492, 0.354, 3.580]],
  "species": ["Tm", "Y", "Al", "Cu"],
  "frac_coords": [[0.500, 0.500, 0.500], [0.000, 0.000, 0.000], [0.750, 0.750, 0.750], [0.250, 0.250, 0.250]],
  "space_group": "No. 216",
  "m_tot_mub_per_cell": 0.00
}



The structure with the least stability is (x).



(w)
{
  "formula": "UAl6Cu6",
  "functional": "PBE",
  "state": "relaxed",
  "lattice": [[-3.546, 0.095, -3.622], [1.013, -4.629, -4.662], [-5.123, -4.012, 1.361]],
  "species": ["Al", "Al", "Al", "Al", "Al", "Al", "Cu", "Cu", "Cu", "Cu", "Cu", "Cu", "U"],
  "frac_coords": [[0.000, 0.654, 0.346], [0.000, 0.346, 0.654], [0.652, 0.348, 0.348], [0.300, 0.200, 0.200], [0.348, 0.652, 0.652], [0.700, 0.800, 0.800], [0.000, 0.500, 0.000], [0.000, 0.000, 0.500], [0.500, 0.500, 0.000], [0.500, 0.769, 0.231], [0.500, 0.000, 0.500], [0.500, 0.231, 0.769], [0.000, 0.000, 0.000]],
  "space_group": "No. 71",
  "m_tot_mub_per_cell": 2.66
}



(x)
{
  "formula": "UAl6Cu6",
  "functional": "PBE",
  "state": "relaxed",
  "lattice": [[-6.276, -5.459, 2.702], [-2.929, -0.771, 6.019], [-6.283, -0.689, -2.057]],
  "species": ["U", "Cu", "Cu", "Cu", "Cu", "Cu", "Cu", "Al", "Al", "Al", "Al", "Al", "Al"],
  "frac_coords": [[0.000, 0.000, 0.000], [0.996, 0.652, 0.348], [0.652, 0.996, 0.004], [0.004, 0.348, 0.652], [0.000, 0.000, 0.500], [0.348, 0.004, 0.996], [0.500, 0.500, 0.000], [0.511, 0.264, 0.736], [0.264, 0.511, 0.489], [0.736, 0.489, 0.511], [0.000, 0.500, 0.000], [0.500, 0.000, 0.500], [0.489, 0.736, 0.264]],
  "space_group": "No. 69",
  "m_tot_mub_per_cell": 2.98
}



The structure with the least stability is (x).



(w)
{
  "formula": "AlCu3W",
  "functional": "PBE",
  "state": "relaxed",
  "lattice": [[4.252, 0.000, 0.000], [0.000, 4.252, 0.000], [0.000, 0.000, 4.252]],
  "species": ["Al", "W", "Cu", "Cu", "Cu"],
  "frac_coords": [[0.000, 0.000, 0.000], [0.500, 0.500, 0.500], [0.000, 0.500, 0.000], [0.000, 0.000, 0.500], [0.500, 0.000, 0.000]],
  "space_group": "No. 221",
  "m_tot_mub_per_cell": 0.00
}



(x)
{
  "formula": "AlCu3W",
  "functional": "PBE",
  "state": "relaxed",
  "lattice": [[4.714, 0.000, 0.000], [0.000, 4.714, 0.000], [0.000, 0.000, 4.714]],
  "species": ["Cu", "Cu", "Cu", "Al", "W"],
  "frac_coords": [[0.000, 0.500, 0.000], [0.000, 0.000, 0.500], [0.500, 0.000, 0.000], [0.500, 0.500, 0.500], [0.000, 0.000, 0.000]],
  "space_group": "No. 221",
  "m_tot_mub_per_cell": 0.00
}



The structure with the least stability is (x).



(w)
{
  "formula": "Y2Al5Cu3",
  "functional": "PBE",
  "state": "relaxed",
  "lattice": [[-1.602, 5.516, 1.210], [-8.282, 0.510, 1.023], [0.963, 1.634, 8.143]],
  "species": ["Al", "Al", "Al", "Al", "Al", "Al", "Al", "Al", "Al", "Al", "Cu", "Cu", "Cu", "Cu", "Cu", "Cu", "Y", "Y", "Y", "Y"],
  "frac_coords": [[0.250, 0.245, 0.755], [0.250, 0.756, 0.244], [0.750, 0.755, 0.245], [0.750, 0.500, 0.500], [0.147, 0.745, 0.962], [0.853, 0.255, 0.038], [0.750, 0.244, 0.756], [0.250, 0.500, 0.500], [0.647, 0.962, 0.745], [0.353, 0.038, 0.255], [0.875, 0.754, 0.497], [0.625, 0.503, 0.246], [0.125, 0.246, 0.503], [0.375, 0.497, 0.754], [0.750, 0.001, 0.999], [0.250, 0.999, 0.001], [0.258, 0.874, 0.610], [0.758, 0.610, 0.874], [0.242, 0.390, 0.126], [0.742, 0.126, 0.390]],
  "space_group": "No. 15",
  "m_tot_mub_per_cell": 0.00
}



(x)
{
  "formula": "Y2Al5Cu3",
  "functional": "PBE",
  "state": "relaxed",
  "lattice": [[4.195, 0.000, 0.000], [0.000, 4.195, 0.000], [0.000, 0.000, 10.343]],
  "species": ["Y", "Y", "Al", "Al", "Al", "Al", "Al", "Cu", "Cu", "Cu"],
  "frac_coords": [[0.000, 0.500, 0.737], [0.500, 0.000, 0.263], [0.000, 0.500, 0.158], [0.500, 0.500, 0.500], [0.000, 0.000, 0.000], [0.500, 0.000, 0.842], [0.500, 0.500, 0.000], [0.500, 0.000, 0.618], [0.000, 0.000, 0.500], [0.000, 0.500, 0.382]],
  "space_group": "No. 115",
  "m_tot_mub_per_cell": 0.00
}



The structure with the least stability is (x).



(w)
{
  "formula": "YAl2Cu9",
  "functional": "PBE",
  "state": "relaxed",
  "lattice": [[-1.336, -3.870, -2.780], [3.391, -2.409, -2.681], [2.065, -6.974, 4.310]],
  "species": ["Cu", "Cu", "Cu", "Cu", "Cu", "Cu", "Cu", "Cu", "Cu", "Y", "Al", "Al"],
  "frac_coords": [[0.334, 0.334, 0.998], [0.410, 0.410, 0.261], [0.666, 0.666, 0.002], [0.410, 0.919, 0.261], [0.590, 0.590, 0.739], [0.590, 0.081, 0.739], [0.081, 0.590, 0.739], [0.919, 0.410, 0.261], [0.500, 0.500, 0.500], [0.000, 0.000, 0.000], [0.145, 0.145, 0.566], [0.855, 0.855, 0.434]],
  "space_group": "No. 166",
  "m_tot_mub_per_cell": 0.00
}



(x)
{
  "formula": "YAl2Cu9",
  "functional": "PBE",
  "state": "relaxed",
  "lattice": [[5.986, 0.000, 2.756], [2.993, 7.152, 1.378], [0.002, 0.000, 7.874]],
  "species": ["Al", "Al", "Al", "Al", "Cu", "Cu", "Cu", "Cu", "Cu", "Cu", "Cu", "Cu", "Cu", "Cu", "Cu", "Cu", "Cu", "Cu", "Cu", "Cu", "Cu", "Cu", "Y", "Y"],
  "frac_coords": [[0.875, 0.250, 0.250], [0.875, 0.250, 0.750], [0.375, 0.750, 0.750], [0.875, 0.750, 0.250], [0.317, 0.670, 0.085], [0.152, 0.170, 0.415], [0.013, 0.670, 0.915], [0.598, 0.085, 0.330], [0.677, 0.170, 0.585], [0.152, 0.415, 0.170], [0.000, 0.000, 0.000], [0.737, 0.830, 0.585], [0.433, 0.830, 0.415], [0.073, 0.330, 0.915], [0.737, 0.585, 0.830], [0.677, 0.585, 0.170], [0.073, 0.915, 0.330], [0.433, 0.415, 0.830], [0.598, 0.330, 0.085], [0.013, 0.915, 0.670], [0.317, 0.085, 0.670], [0.750, 0.500, 0.500], [0.250, 0.500, 0.500], [0.500, 0.000, 0.000]],
  "space_group": "No. 141",
  "m_tot_mub_per_cell": 0.00
}



The structure with the least stability is (w).



(w)
{
  "formula": "Y4AlCu",
  "functional": "PBE",
  "state": "relaxed",
  "lattice": [[-2.613, 4.947, -0.948], [-5.532, -6.098, -2.083], [1.688, 0.546, 7.936]],
  "species": ["Y", "Y", "Y", "Y", "Y", "Y", "Y", "Y", "Cu", "Cu", "Al", "Al"],
  "frac_coords": [[0.638, 0.066, 0.367], [0.056, 0.220, 0.851], [0.771, 0.700, 0.633], [0.706, 0.369, 0.149], [0.294, 0.631, 0.851], [0.362, 0.934, 0.633], [0.944, 0.780, 0.149], [0.229, 0.300, 0.367], [0.751, 0.001, 0.001], [0.249, 0.999, 0.999], [0.628, 0.378, 0.755], [0.372, 0.622, 0.245]],
  "space_group": "No. 15",
  "m_tot_mub_per_cell": 0.00
}



(x)
{
  "formula": "Y4AlCu",
  "functional": "PBE",
  "state": "relaxed",
  "lattice": [[-5.887, 1.504, 1.131], [-4.017, 0.491, -4.672], [-4.458, -4.224, -0.700]],
  "species": ["Al", "Y", "Y", "Y", "Y", "Cu"],
  "frac_coords": [[0.750, 0.750, 0.750], [0.376, 0.376, 0.376], [0.873, 0.376, 0.376], [0.376, 0.376, 0.873], [0.376, 0.873, 0.376], [0.000, 0.000, 0.000]],
  "space_group": "No. 216",
  "m_tot_mub_per_cell": 0.00
}



The structure with the least stability is (x).



(w)
{
  "formula": "AlZn2Cu6",
  "functional": "PBE",
  "state": "relaxed",
  "lattice": [[3.972, 0.000, 1.213], [0.988, 5.622, 3.872], [0.126, 1.656, 6.695]],
  "species": ["Cu", "Cu", "Cu", "Cu", "Cu", "Cu", "Al", "Zn", "Zn"],
  "frac_coords": [[0.802, 0.449, 0.947], [0.198, 0.053, 0.551], [0.000, 0.242, 0.758], [0.802, 0.947, 0.449], [0.000, 0.758, 0.242], [0.198, 0.551, 0.053], [0.500, 0.500, 0.500], [0.612, 0.888, 0.888], [0.388, 0.112, 0.112]],
  "space_group": "No. 71",
  "m_tot_mub_per_cell": 0.00
}



(x)
{
  "formula": "AlZn2Cu6",
  "functional": "PBE",
  "state": "relaxed",
  "lattice": [[-0.314, -1.674, -3.412], [3.644, 0.154, -2.543], [4.076, -6.801, 0.830]],
  "species": ["Zn", "Zn", "Cu", "Cu", "Cu", "Cu", "Cu", "Cu", "Al"],
  "frac_coords": [[0.326, 0.614, 0.733], [0.674, 0.386, 0.267], [0.003, 0.828, 0.165], [0.337, 0.270, 0.056], [0.665, 0.060, 0.610], [0.997, 0.172, 0.835], [0.663, 0.730, 0.944], [0.335, 0.940, 0.390], [0.000, 0.500, 0.500]],
  "space_group": "No. 12",
  "m_tot_mub_per_cell": 0.00
}



The structure with the least stability is (w).